[1]
This record from Alexandria describes a relaxed Nd12Tm7Sc crystal. The functional is PBE.

Computed properties:
Total DFT energy (no corrections) ... -4.541 eV/atom
Relative energy among the computed polymorphs ... 0.048 eV/atom
Crystal system ... trigonal

Cell lengths 6.1794, 11.4798, 11.4798 Å; angles 116.85, 100.34, 100.34 degrees
Last column: nearest neighbours and their distance in Å.
Element x y z (fractional)
Tm (0.1186, 0.7606, 0.9999)  1 Sc 2.97, 1 Tm 3.28
Tm (0.6421, 0.7607, 0.7606)  1 Sc 2.97, 1 Tm 3.28
Tm (0.8813, 0.9999, 0.2393)  1 Sc 2.97, 1 Tm 3.28
Tm (0.8814, 0.2394, 0.0001)  1 Sc 2.97, 1 Tm 3.28
Tm (0.3579, 0.2393, 0.2394)  1 Sc 2.97, 1 Tm 3.28
Tm (0.5000, 0.0000, 0.0000)  2 Sc 3.09, 6 Tm 3.28
Tm (0.1187, 0.0001, 0.7607)  1 Sc 2.97, 1 Tm 3.28
Nd (0.0865, 0.5870, 0.1741)  5 Nd 3.39-3.76, 2 Tm 3.41
Nd (0.5004, 0.4129, 0.5870)  5 Nd 3.39-3.76, 2 Tm 3.41
Nd (0.9135, 0.4130, 0.8259)  5 Nd 3.39-3.76, 2 Tm 3.41
Nd (0.4996, 0.5871, 0.4130)  5 Nd 3.39-3.76, 2 Tm 3.41
Nd (0.4200, 0.9998, 0.3510)  4 Tm 3.33-3.57, 1 Nd 3.38
Nd (0.0689, 0.6490, 0.6488)  4 Tm 3.33-3.57, 1 Nd 3.38
Nd (0.0876, 0.1741, 0.5871)  5 Nd 3.39-3.76, 2 Tm 3.41
Nd (0.5799, 0.6488, 0.9998)  4 Tm 3.33-3.57, 1 Nd 3.38
Nd (0.9124, 0.8259, 0.4129)  5 Nd 3.39-3.76, 2 Tm 3.41
Nd (0.4201, 0.3512, 0.0002)  4 Tm 3.33-3.57, 1 Nd 3.38
Nd (0.5800, 0.0002, 0.6490)  4 Tm 3.33-3.57, 1 Nd 3.38
Nd (0.9311, 0.3510, 0.3512)  4 Tm 3.33-3.57, 1 Nd 3.38
Sc (0.0000, 0.0000, 0.0000)  8 Tm 2.97-3.09

---

[2]
This record from Alexandria describes a relaxed NdTm2Sc crystal. The functional is PBE.

Computed properties:
Total DFT energy (no corrections) ... -4.865 eV/atom
Relative energy among the computed polymorphs ... 0.121 eV/atom
Crystal system ... cubic

Cell lengths 5.5470, 5.5470, 5.5470 Å; angles 60.00, 60.00, 60.00 degrees
Last column: nearest neighbours and their distance in Å.
Element x y z (fractional)
Tm (0.2500, 0.2500, 0.2500)  4 Nd 3.40, 4 Sc 3.40
Tm (0.7500, 0.7500, 0.7500)  4 Nd 3.40, 4 Sc 3.40
Sc (0.5000, 0.5000, 0.5000)  8 Tm 3.40
Nd (0.0000, 0.0000, 0.0000)  8 Tm 3.40

---

[3]
This record from Alexandria describes a relaxed NdTmSc2 crystal. The functional is PBE.

Computed properties:
Total DFT energy (no corrections) ... -5.421 eV/atom
Relative energy among the computed polymorphs ... 0.000 eV/atom
Crystal system ... monoclinic

Cell lengths 7.8286, 4.6244, 3.4950 Å; angles 90.00, 63.39, 90.00 degrees
Last column: nearest neighbours and their distance in Å.
Element x y z (fractional)
Nd (0.7500, 0.5000, 0.7500)  8 Sc 3.41, 2 Nd 3.50, 2 Tm 3.50
Sc (0.0068, 0.0000, 0.9927)  4 Tm 3.36, 4 Sc 3.40-3.59, 4 Nd 3.41
Sc (0.4932, 0.0000, 0.5073)  4 Tm 3.36, 4 Sc 3.40-3.59, 4 Nd 3.41
Tm (0.2500, 0.5000, 0.2500)  8 Sc 3.36, 2 Tm 3.50, 2 Nd 3.50

---

[4]
This record from Alexandria describes a relaxed NdTm3Sc2 crystal. The functional is PBE.

Computed properties:
Total DFT energy (no corrections) ... -4.834 eV/atom
Crystal system ... orthorhombic

Cell lengths 5.4366, 8.5990, 8.5990 Å; angles 111.49, 90.00, 90.00 degrees
Last column: nearest neighbours and their distance in Å.
Element x y z (fractional)
Sc (0.9930, 0.2991, 0.5148)  3 Tm 3.06-3.39, 3 Sc 3.07-3.26, 2 Nd 3.39
Sc (0.4930, 0.7009, 0.4852)  3 Tm 3.06-3.39, 3 Sc 3.07-3.26, 2 Nd 3.39
Sc (0.4930, 0.4852, 0.7009)  3 Tm 3.06-3.39, 3 Sc 3.07-3.26, 2 Nd 3.39
Sc (0.9930, 0.5148, 0.2991)  3 Tm 3.06-3.39, 3 Sc 3.07-3.26, 2 Nd 3.39
Tm (0.9930, 0.0946, 0.0946)  3 Nd 3.21-3.53, 4 Tm 3.28-3.41, 2 Sc 3.39
Tm (0.4930, 0.6321, 0.1099)  2 Sc 3.06-3.27, 1 Tm 3.41
Tm (0.4930, 0.1099, 0.6321)  2 Sc 3.06-3.27, 1 Tm 3.41
Tm (0.4930, 0.9054, 0.9054)  3 Nd 3.21-3.53, 4 Tm 3.28-3.41, 2 Sc 3.39
Tm (0.9930, 0.3679, 0.8901)  2 Sc 3.06-3.27, 1 Tm 3.41
Tm (0.9930, 0.8901, 0.3679)  2 Sc 3.06-3.27, 1 Tm 3.41
Nd (0.4930, 0.2704, 0.2704)  3 Tm 3.21-3.53, 6 Sc 3.39-3.48
Nd (0.9930, 0.7296, 0.7296)  3 Tm 3.21-3.53, 6 Sc 3.39-3.48

---

[5]
This record from Alexandria describes a relaxed Nd3TmSc4 crystal. The functional is PBE.

Computed properties:
Total DFT energy (no corrections) ... -5.461 eV/atom
Crystal system ... orthorhombic

Cell lengths 5.9801, 7.1456, 10.9129 Å; angles 90.00, 90.00, 90.00 degrees
Last column: nearest neighbours and their distance in Å.
Element x y z (fractional)
Sc (0.1480, 0.1090, 0.7528)  6 Sc 3.27-3.40, 1 Tm 3.36, 4 Nd 3.37-3.56
Sc (0.4800, 0.1094, 0.5000)  6 Sc 3.27-3.40, 1 Tm 3.34, 4 Nd 3.41-3.55
Sc (0.6480, 0.8910, 0.7472)  6 Sc 3.27-3.40, 1 Tm 3.36, 4 Nd 3.37-3.56
Sc (0.9804, 0.8915, 0.5000)  6 Sc 3.32-3.37, 3 Nd 3.36-3.40, 2 Tm 3.41-3.55
Sc (0.4804, 0.1085, 0.0000)  6 Sc 3.32-3.37, 3 Nd 3.36-3.40, 2 Tm 3.41-3.55
Sc (0.6480, 0.8910, 0.2528)  6 Sc 3.27-3.40, 1 Tm 3.36, 4 Nd 3.37-3.56
Sc (0.9800, 0.8906, 0.0000)  6 Sc 3.27-3.40, 1 Tm 3.34, 4 Nd 3.41-3.55
Sc (0.1480, 0.1090, 0.2472)  6 Sc 3.27-3.40, 1 Tm 3.36, 4 Nd 3.37-3.56
Nd (0.6363, 0.3623, 0.2493)  5 Sc 3.37-3.56, 2 Tm 3.46-3.49, 4 Nd 3.46-3.58
Nd (0.4917, 0.6385, 0.0000)  5 Sc 3.36-3.55, 4 Nd 3.46-3.47, 2 Tm 3.58-3.61
Nd (0.9917, 0.3615, 0.5000)  5 Sc 3.36-3.55, 4 Nd 3.46-3.47, 2 Tm 3.58-3.61
Nd (0.6363, 0.3623, 0.7507)  5 Sc 3.37-3.56, 2 Tm 3.46-3.49, 4 Nd 3.46-3.58
Nd (0.1363, 0.6377, 0.7493)  5 Sc 3.37-3.56, 2 Tm 3.46-3.49, 4 Nd 3.46-3.58
Nd (0.1363, 0.6377, 0.2507)  5 Sc 3.37-3.56, 2 Tm 3.46-3.49, 4 Nd 3.46-3.58
Tm (0.4946, 0.6419, 0.5000)  5 Sc 3.34-3.55, 6 Nd 3.46-3.61
Tm (0.9946, 0.3581, 0.0000)  5 Sc 3.34-3.55, 6 Nd 3.46-3.61

---

[6]
This record from Alexandria describes a relaxed Nd3Tm2Sc3 crystal. The functional is PBE.

Computed properties:
Total DFT energy (no corrections) ... -5.086 eV/atom
Crystal system ... hexagonal

Cell lengths 6.6174, 9.2828, 9.2828 Å; angles 60.00, 90.00, 90.00 degrees
Last column: nearest neighbours and their distance in Å.
Element x y z (fractional)
Tm (0.5000, 0.6667, 0.6667)  6 Sc 3.26, 2 Tm 3.31
Tm (0.0000, 0.3333, 0.3333)  6 Sc 3.26, 2 Tm 3.31
Tm (0.5000, 0.3333, 0.3333)  6 Sc 3.26, 2 Tm 3.31
Tm (0.0000, 0.6667, 0.6667)  6 Sc 3.26, 2 Tm 3.31
Sc (0.2500, 0.4078, 0.5922)  3 Nd 3.24-3.30, 4 Tm 3.26
Sc (0.2500, 0.5922, 0.0000)  3 Nd 3.24-3.30, 4 Tm 3.26
Sc (0.7500, 0.4078, 0.0000)  3 Nd 3.24-3.30, 4 Tm 3.26
Sc (0.7500, 0.0000, 0.5922)  3 Nd 3.24-3.30, 4 Tm 3.26
Sc (0.2500, 0.0000, 0.4078)  3 Nd 3.24-3.30, 4 Tm 3.26
Sc (0.7500, 0.5922, 0.4078)  3 Nd 3.24-3.30, 4 Tm 3.26
Nd (0.7500, 0.7567, 0.0000)  3 Sc 3.24-3.30
Nd (0.7500, 0.0000, 0.2433)  3 Sc 3.24-3.30
Nd (0.2500, 0.2433, 0.0000)  3 Sc 3.24-3.30
Nd (0.2500, 0.7567, 0.2433)  3 Sc 3.24-3.30
Nd (0.7500, 0.2433, 0.7567)  3 Sc 3.24-3.30
Nd (0.2500, 0.0000, 0.7567)  3 Sc 3.24-3.30

---

[7]
This record from Alexandria describes a relaxed Nd2Tm5Sc crystal. The functional is PBE.

Computed properties:
Total DFT energy (no corrections) ... -4.739 eV/atom
Relative energy among the computed polymorphs ... 0.000 eV/atom
Crystal system ... orthorhombic

Cell lengths 4.9510, 7.0221, 14.0457 Å; angles 90.00, 90.00, 90.00 degrees
Last column: nearest neighbours and their distance in Å.
Element x y z (fractional)
Tm (0.5000, 0.2520, 0.3759)  4 Nd 3.48-3.54, 6 Tm 3.49-3.53, 2 Sc 3.51
Tm (0.5000, 0.7520, 0.1241)  4 Nd 3.48-3.54, 6 Tm 3.49-3.53, 2 Sc 3.51
Tm (0.5000, 0.2480, 0.8759)  4 Nd 3.48-3.54, 6 Tm 3.49-3.53, 2 Sc 3.51
Tm (0.0000, 0.5000, 0.5000)  6 Tm 3.49-3.54, 2 Sc 3.51, 4 Nd 3.51
Tm (0.0000, 0.0040, 0.2518)  1 Sc 3.49, 7 Tm 3.49-3.54, 4 Nd 3.50-3.53
Tm (0.0000, 0.5040, 0.2482)  1 Sc 3.49, 7 Tm 3.49-3.54, 4 Nd 3.50-3.53
Tm (0.0000, 0.9960, 0.7482)  1 Sc 3.49, 7 Tm 3.49-3.54, 4 Nd 3.50-3.53
Tm (0.0000, 0.4960, 0.7518)  1 Sc 3.49, 7 Tm 3.49-3.54, 4 Nd 3.50-3.53
Tm (0.0000, 0.0000, 0.0000)  6 Tm 3.49-3.54, 2 Sc 3.51, 4 Nd 3.51
Tm (0.5000, 0.7480, 0.6241)  4 Nd 3.48-3.54, 6 Tm 3.49-3.53, 2 Sc 3.51
Sc (0.0000, 0.0000, 0.5000)  4 Nd 3.48, 8 Tm 3.49-3.51
Sc (0.0000, 0.5000, 0.0000)  4 Nd 3.48, 8 Tm 3.49-3.51
Nd (0.5000, 0.2456, 0.6236)  10 Tm 3.48-3.54, 2 Sc 3.48
Nd (0.5000, 0.7456, 0.8764)  10 Tm 3.48-3.54, 2 Sc 3.48
Nd (0.5000, 0.2544, 0.1236)  10 Tm 3.48-3.54, 2 Sc 3.48
Nd (0.5000, 0.7544, 0.3764)  10 Tm 3.48-3.54, 2 Sc 3.48

---

[8]
This record from Alexandria describes a relaxed Nd2TmSc crystal. The functional is PBE.

Computed properties:
Total DFT energy (no corrections) ... -5.043 eV/atom
Relative energy among the computed polymorphs ... 0.003 eV/atom
Crystal system ... tetragonal

Cell lengths 4.8539, 5.0511, 5.0511 Å; angles 90.00, 90.00, 90.00 degrees
Last column: nearest neighbours and their distance in Å.
Element x y z (fractional)
Sc (0.5000, 0.5000, 0.5000)  8 Nd 3.50, 4 Tm 3.57
Nd (0.0000, 0.0000, 0.5000)  4 Sc 3.50, 4 Tm 3.50, 4 Nd 3.57
Nd (0.0000, 0.5000, 0.0000)  4 Sc 3.50, 4 Tm 3.50, 4 Nd 3.57
Tm (0.5000, 0.0000, 0.0000)  8 Nd 3.50, 4 Sc 3.57

---

[9]
This record from Alexandria describes a relaxed NdTm4Sc3 crystal. The functional is PBE.

Computed properties:
Total DFT energy (no corrections) ... -5.026 eV/atom
Relative energy among the computed polymorphs ... 0.157 eV/atom
Crystal system ... orthorhombic

Cell lengths 3.3048, 8.5310, 8.5309 Å; angles 81.88, 78.83, 78.83 degrees
Last column: nearest neighbours and their distance in Å.
Element x y z (fractional)
Tm (0.6333, 0.1211, 0.6122)  1 Sc 3.15, 1 Nd 3.29, 5 Tm 3.30-3.35
Tm (0.6333, 0.6122, 0.1211)  1 Sc 3.15, 1 Nd 3.29, 5 Tm 3.30-3.35
Tm (0.3667, 0.8789, 0.3878)  1 Sc 3.15, 1 Nd 3.29, 5 Tm 3.30-3.35
Tm (0.3667, 0.3878, 0.8789)  1 Sc 3.15, 1 Nd 3.29, 5 Tm 3.30-3.35
Sc (0.0000, 0.5000, 0.5000)  6 Sc 3.30-3.60, 8 Tm 3.61
Sc (0.7566, 0.2434, 0.2434)  2 Tm 3.15, 2 Sc 3.30, 2 Nd 3.45
Sc (0.2434, 0.7566, 0.7566)  2 Tm 3.15, 2 Sc 3.30, 2 Nd 3.45
Nd (0.5000, 0.0000, 0.0000)  4 Tm 3.29, 2 Nd 3.30, 4 Sc 3.45

---

[10]
This record from Alexandria describes a relaxed NdTm2Sc3 crystal. The functional is PBE.

Computed properties:
Total DFT energy (no corrections) ... -5.382 eV/atom
Crystal system ... monoclinic

Cell lengths 3.4405, 5.9450, 16.5689 Å; angles 96.84, 90.00, 90.00 degrees
Last column: nearest neighbours and their distance in Å.
Element x y z (fractional)
Tm (0.7500, 0.2498, 0.5000)  6 Sc 3.35-3.37, 6 Tm 3.43-3.44
Tm (0.2500, 0.7502, 0.5000)  6 Sc 3.35-3.37, 6 Tm 3.43-3.44
Tm (0.7500, 0.0258, 0.8326)  6 Sc 3.38-3.40, 4 Nd 3.42-3.45, 2 Tm 3.44
Tm (0.2500, 0.9742, 0.1674)  6 Sc 3.38-3.40, 4 Nd 3.42-3.45, 2 Tm 3.44
Sc (0.7500, 0.8632, 0.3345)  5 Tm 3.36-3.39, 1 Nd 3.39, 6 Sc 3.42-3.45
Sc (0.7500, 0.6393, 0.6641)  4 Tm 3.35-3.40, 2 Nd 3.40, 6 Sc 3.42-3.45
Sc (0.2500, 0.1368, 0.6655)  5 Tm 3.36-3.39, 1 Nd 3.39, 6 Sc 3.42-3.45
Sc (0.2500, 0.2463, 0.9987)  3 Tm 3.38-3.39, 3 Nd 3.40-3.43, 6 Sc 3.40-3.47
Sc (0.2500, 0.3607, 0.3359)  4 Tm 3.35-3.40, 2 Nd 3.40, 6 Sc 3.42-3.45
Sc (0.7500, 0.7537, 0.0013)  3 Tm 3.38-3.39, 3 Nd 3.40-3.43, 6 Sc 3.40-3.47
Nd (0.7500, 0.4722, 0.1681)  6 Sc 3.39-3.43, 4 Tm 3.42-3.45, 2 Nd 3.44
Nd (0.2500, 0.5278, 0.8319)  6 Sc 3.39-3.43, 4 Tm 3.42-3.45, 2 Nd 3.44

---

[11]
This record from Alexandria describes a relaxed Nd2Tm8Sc crystal. The functional is PBE.

Computed properties:
Total DFT energy (no corrections) ... -4.659 eV/atom
Relative energy among the computed polymorphs ... 0.000 eV/atom
Crystal system ... triclinic

Cell lengths 7.8137, 6.0687, 7.8459 Å; angles 97.69, 107.52, 104.78 degrees
Last column: nearest neighbours and their distance in Å.
Element x y z (fractional)
Tm (0.1820, 0.5457, 0.9124)  8 Tm 3.46-3.52, 2 Sc 3.49-3.50, 2 Nd 3.50-3.56
Tm (0.2736, 0.8202, 0.3607)  8 Tm 3.46-3.54, 3 Nd 3.48-3.55, 1 Sc 3.48
Tm (0.4523, 0.3616, 0.2693)  9 Tm 3.45-3.55, 2 Nd 3.47-3.53, 1 Sc 3.48
Tm (0.5477, 0.6384, 0.7307)  9 Tm 3.45-3.55, 2 Nd 3.47-3.53, 1 Sc 3.48
Tm (0.3635, 0.0913, 0.8216)  9 Tm 3.45-3.54, 1 Sc 3.48, 2 Nd 3.49-3.54
Tm (0.7264, 0.1798, 0.6393)  8 Tm 3.46-3.54, 3 Nd 3.48-3.55, 1 Sc 3.48
Tm (0.6365, 0.9087, 0.1784)  9 Tm 3.45-3.54, 1 Sc 3.48, 2 Nd 3.49-3.54
Tm (0.8180, 0.4543, 0.0876)  8 Tm 3.46-3.52, 2 Sc 3.49-3.50, 2 Nd 3.50-3.56
Nd (0.9085, 0.7282, 0.5506)  1 Sc 3.46, 9 Tm 3.47-3.56, 2 Nd 3.53-3.54
Nd (0.0915, 0.2718, 0.4494)  1 Sc 3.46, 9 Tm 3.47-3.56, 2 Nd 3.53-3.54
Sc (0.0000, 0.0000, 0.0000)  2 Nd 3.46, 10 Tm 3.48-3.50

---

[12]
This record from Alexandria describes a relaxed Nd3Tm12Sc crystal. The functional is PBE.

Computed properties:
Total DFT energy (no corrections) ... -4.610 eV/atom
Crystal system ... tetragonal

Cell lengths 4.9670, 4.9670, 19.8499 Å; angles 90.00, 90.00, 90.00 degrees
Last column: nearest neighbours and their distance in Å.
Element x y z (fractional)
Sc (0.0000, 0.0000, 0.0000)  12 Tm 3.43-3.51
Tm (0.5000, 0.5000, 0.0000)  8 Tm 3.43, 4 Sc 3.51
Tm (0.5000, 0.0000, 0.8805)  8 Tm 3.43-3.53, 2 Sc 3.43, 2 Nd 3.56
Tm (0.5000, 0.5000, 0.2463)  4 Nd 3.51, 8 Tm 3.53-3.54
Tm (0.5000, 0.0000, 0.6268)  8 Tm 3.51-3.54, 4 Nd 3.51-3.54
Tm (0.5000, 0.5000, 0.5000)  4 Nd 3.51, 8 Tm 3.54
Tm (0.0000, 0.5000, 0.6268)  8 Tm 3.51-3.54, 4 Nd 3.51-3.54
Tm (0.5000, 0.5000, 0.7537)  4 Nd 3.51, 8 Tm 3.53-3.54
Tm (0.0000, 0.5000, 0.1195)  2 Sc 3.43, 8 Tm 3.43-3.53, 2 Nd 3.56
Tm (0.5000, 0.0000, 0.3732)  8 Tm 3.51-3.54, 4 Nd 3.51-3.54
Tm (0.0000, 0.5000, 0.8805)  2 Sc 3.43, 8 Tm 3.43-3.53, 2 Nd 3.56
Tm (0.0000, 0.5000, 0.3732)  8 Tm 3.51-3.54, 4 Nd 3.51-3.54
Tm (0.5000, 0.0000, 0.1195)  8 Tm 3.43-3.53, 2 Sc 3.43, 2 Nd 3.56
Nd (0.0000, 0.0000, 0.7522)  12 Tm 3.51-3.56
Nd (0.0000, 0.0000, 0.5000)  12 Tm 3.51-3.54
Nd (0.0000, 0.0000, 0.2478)  12 Tm 3.51-3.56

---

| no. | formation enthalpy at 0 K (eV per atom) |
| --- | --- |
| 1 | 0.20 |
| 2 | 0.15 |
| 3 | 0.05 |
| 4 | 0.31 |
| 5 | 0.05 |
| 6 | 0.19 |
| 7 | 0.04 |
| 8 | 0.04 |
| 9 | 0.18 |
| 10 | 0.07 |
| 11 | 0.04 |
| 12 | 0.03 |